VASP calculation (PBE) on an optimized crystal structure of K2P3H6.

a b c (Å): 8.199 8.199 9.362
angles (deg): 116.25 116.25 59.58
Sites, in units of the cell vectors:
K 0.164 0.663 0.987
K 0.337 0.836 0.513
K 0.663 0.164 0.487
K 0.836 0.337 0.013
P 0.067 0.933 0.750
P 0.249 0.433 0.246
P 0.433 0.249 0.746
P 0.567 0.751 0.254
P 0.751 0.567 0.754
P 0.933 0.067 0.250
H 0.105 0.728 0.668
H 0.165 0.395 0.328
H 0.228 0.335 0.663
H 0.272 0.895 0.832
H 0.335 0.228 0.163
H 0.395 0.165 0.828
H 0.605 0.835 0.172
H 0.665 0.772 0.837
H 0.728 0.105 0.168
H 0.772 0.665 0.337
H 0.835 0.605 0.672
H 0.895 0.272 0.332

Mass density   1.26 g/cm³
Crystal system   monoclinic
Final energy   -3.616 eV per atom